DFT (GGA-PBE) results for a relaxed Ir3AuS5 crystal.

Cell: 5.7016 5.7016 6.3863 Å, 90.00 90.00 120.00°
With the nearest neighbours (Å) after each atom.
Fractional coordinates of all 9 atoms:
Ir1 0.0000 0.5000 0.0000  4 S 2.34
Ir2 0.5000 0.0000 0.0000  4 S 2.34
Ir3 0.5000 0.5000 0.0000  4 S 2.34
Au1 0.0000 0.0000 0.5000  2 S 3.19
S1 0.0000 0.0000 0.0000  6 Ir 2.85
S2 0.3333 0.6667 0.2609  3 Ir 2.34
S3 0.3333 0.6667 0.7391  3 Ir 2.34
S4 0.6667 0.3333 0.2609  3 Ir 2.34
S5 0.6667 0.3333 0.7391  3 Ir 2.34

VASP energy, eV/atom: -5.358
Calculated volume, Å³/cell: 179.8

DFT (GGA-PBE) results for a relaxed TlIrAuSe2S crystal.

Cell: 7.7973 7.7973 9.7073 Å, 90.00 90.00 151.25°
With the nearest neighbours (Å) after each atom.
Fractional coordinates of all 12 atoms:
Tl1 0.1893 0.8107 0.7500  2 Se 2.88, 2 S 2.90, 2 Au 2.94
Tl2 0.8107 0.1893 0.2500  2 Se 2.88, 2 S 2.90, 2 Au 2.94
Ir1 0.5000 0.5000 0.0000  4 Se 2.51, 2 S 2.53
Ir2 0.5000 0.5000 0.5000  4 Se 2.51, 2 S 2.53
Au1 0.1638 0.8362 0.2500  2 Se 2.43
Au2 0.8362 0.1638 0.7500  2 Se 2.43
Se1 0.1051 0.8949 0.0165  1 Au 2.43, 2 Ir 2.51
Se2 0.1051 0.8949 0.4835  1 Au 2.43, 2 Ir 2.51
Se3 0.8949 0.1051 0.5165  1 Au 2.43, 2 Ir 2.51
Se4 0.8949 0.1051 0.9835  1 Au 2.43, 2 Ir 2.51
S1 0.4534 0.5466 0.2500  2 Ir 2.53
S2 0.5466 0.4534 0.7500  2 Ir 2.53

VASP energy, eV/atom: -4.376
Calculated volume, Å³/cell: 283.9

VASP energy of number 1 (Ir3AuS5)? -5.358 eV/atom

The highest calculated volume belongs to which entry? TlIrAuSe2S